Computed, not measured: a relaxed structure of Pm2CdTe at the PBE level of DFT.

Values from the calculation:
ρ	7.8	Mg/m³
crystal system	tetragonal

The structure in CIF format:
```
data_Pm2CdTe
_chemical_formula_sum 'Pm2 Cd1 Te1'
_cell_length_a 3.974
_cell_length_b 3.974
_cell_length_c 7.162
_cell_angle_alpha 90.00
_cell_angle_beta 90.00
_cell_angle_gamma 90.00
_space_group_name_H-M_alt 'P 4/m m m'
_space_group_IT_number 123
_space_group_name_Hall '-P 4 2'
loop_
_atom_site_label
_atom_site_type_symbol
_atom_site_fract_x
_atom_site_fract_y
_atom_site_fract_z
Pm1 Pm 0.000 0.000 0.248
Cd1 Cd 0.500 0.500 0.500
Te1 Te 0.500 0.500 0.000
```

---

Computed, not measured: a relaxed structure of Pm2CdTe at the PBE level of DFT.

Values from the calculation:
ρ	7.7	Mg/m³
crystal system	cubic

The structure in CIF format:
```
data_Pm2CdTe
_chemical_formula_sum 'Pm8 Cd4 Te4'
_cell_length_a 7.689
_cell_length_b 7.689
_cell_length_c 7.689
_cell_angle_alpha 90.00
_cell_angle_beta 90.00
_cell_angle_gamma 90.00
_space_group_name_H-M_alt 'F m -3 m'
_space_group_IT_number 225
_space_group_name_Hall '-F 4 2 3'
loop_
_atom_site_label
_atom_site_type_symbol
_atom_site_fract_x
_atom_site_fract_y
_atom_site_fract_z
Pm1 Pm 0.250 0.250 0.250
Cd1 Cd 0.000 0.000 0.000
Te1 Te 0.000 0.000 0.500
```

---

Here are the calculated total energy numbers, same order: -16.59 -16.06 (eV per formula unit).